No. 1
The following is a SCAN calculation of a PBEsol-optimized structure of BaFeRu2, from Alexandria via LeMat-Bulk.

The space group is Pmm2 (No. 25) and the conventional cell measures 2.911, 3.505 and 7.389 Å, with angles of 90.00, 90.00 and 90.00 degrees. The distinct sites, in fractional coordinates, are Ba at (0.000, 0.000, 0.000), Fe at (0.500, 0.500, 0.338), Ru at (0.000, 0.000, 0.500) and Ru at (0.500, 0.500, 0.661).

For the magnetization, the calculation gives 0.820 μB per atom. The calculation puts the formation energy at 0.60 eV per atom.

No. 2
The following is a SCAN calculation of a PBEsol-optimized structure of Ba2FeRu, from Alexandria via LeMat-Bulk.

The space group is P4/mmm (No. 123) and the conventional cell measures 3.615, 3.615 and 7.978 Å, with angles of 90.00, 90.00 and 90.00 degrees. The distinct sites, in fractional coordinates, are Ba at (0.000, 0.000, 0.234), Fe at (0.500, 0.500, 0.500) and Ru at (0.500, 0.500, 0.000).

For the magnetization, the calculation gives 0.853 μB per atom. The calculation puts the formation energy at 0.92 eV per atom.

No. 3
The following is a SCAN calculation of a PBEsol-optimized structure of BaFeS2, from Alexandria via LeMat-Bulk.

The space group is Fm-3m (No. 225) and the conventional cell measures 6.955, 6.955 and 6.955 Å, with angles of 90.00, 90.00 and 90.00 degrees. The distinct sites, in fractional coordinates, are Ba at (0.000, 0.000, 0.000), Fe at (0.000, 0.000, 0.500) and S at (0.250, 0.250, 0.250).

The calculation puts the formation energy from raw total energies at -15.0 kcal/mol of atoms. For the magnetization, the calculation gives 1.002 μB per atom.

No. 4
The following is a SCAN calculation of a PBEsol-optimized structure of BaFeSb4, from Alexandria via LeMat-Bulk.

The space group is F-43m (No. 216) and the conventional cell measures 8.830, 8.830 and 8.830 Å, with angles of 90.00, 90.00 and 90.00 degrees. The distinct sites, in fractional coordinates, are Ba at (0.000, 0.000, 0.000), Fe at (0.250, 0.250, 0.750) and Sb at (0.123, 0.123, 0.377).

The calculation puts the formation energy from raw total energies at 4.7 kcal/mol of atoms. For the magnetization, the calculation gives 0.548 μB per atom.

No. 5
The following is a SCAN calculation of a PBEsol-optimized structure of BaFe4Sb12, from Alexandria via LeMat-Bulk.

The space group is Im-3 (No. 204) and the conventional cell measures 9.107, 9.107 and 9.107 Å, with angles of 90.00, 90.00 and 90.00 degrees. The distinct sites, in fractional coordinates, are Ba at (0.000, 0.000, 0.000), Fe at (0.250, 0.250, 0.250) and Sb at (0.000, 0.338, 0.165).

The calculation puts the formation energy from raw total energies at -3.6 kcal/mol of atoms. For the magnetization, the calculation gives 0.119 μB per atom.

No. 6
The following is a SCAN calculation of a PBEsol-optimized structure of BaFeSbTe2, from Alexandria via LeMat-Bulk.

The space group is P4/mmm (No. 123) and the conventional cell measures 5.431, 5.431 and 4.833 Å, with angles of 90.00, 90.00 and 90.00 degrees. The distinct sites, in fractional coordinates, are Ba at (0.000, 0.000, 0.000), Fe at (0.500, 0.500, 0.500), Sb at (0.500, 0.500, 0.000) and Te at (0.000, 0.500, 0.500).

The calculation puts the formation energy from raw total energies at -11.2 kcal/mol of atoms. For the magnetization, the calculation gives 0.543 μB per atom.

No. 7
The following is a SCAN calculation of a PBEsol-optimized structure of Ba2ScFe, from Alexandria via LeMat-Bulk.

The space group is R-3m (No. 166, hexagonal axes) and the conventional cell measures 3.6489, 3.6489 and 32.1233 Å, with angles of 90.00, 90.00 and 120.00 degrees. The distinct sites, in fractional coordinates, are Ba at (0.0000, 0.0000, 0.2372), Sc at (0.0000, 0.0000, 0.0000) and Fe at (0.0000, 0.0000, 0.5000).

For the magnetization, the calculation gives 0.485 μB per atom. The calculation puts the formation energy at 0.85 eV per atom.

No. 8
The following is a SCAN calculation of a PBEsol-optimized structure of Ba2ScFe, from Alexandria via LeMat-Bulk.

The space group is F-43m (No. 216) and the conventional cell measures 7.765, 7.765 and 7.765 Å, with angles of 90.00, 90.00 and 90.00 degrees. The distinct sites, in fractional coordinates, are Ba at (0.000, 0.000, 0.000), Ba at (0.250, 0.250, 0.250), Sc at (0.250, 0.250, 0.750) and Fe at (0.000, 0.000, 0.500).

For the magnetization, the calculation gives 0.576 μB per atom. The calculation puts the formation energy at 0.74 eV per atom.

No. 9
The following is a SCAN calculation of a PBEsol-optimized structure of BaFeSe2, from Alexandria via LeMat-Bulk.

The space group is F-43m (No. 216) and the conventional cell measures 7.193, 7.193 and 7.193 Å, with angles of 90.00, 90.00 and 90.00 degrees. The distinct sites, in fractional coordinates, are Ba at (0.000, 0.000, 0.000), Fe at (0.250, 0.250, 0.750), Se at (0.000, 0.000, 0.500) and Se at (0.250, 0.250, 0.250).

The calculation puts the formation energy from raw total energies at -0.4 kcal/mol of atoms. For the magnetization, the calculation gives 0.933 μB per atom.

No. 10
The following is a SCAN calculation of a PBEsol-optimized structure of BaFeSe2, from Alexandria via LeMat-Bulk.

The space group is P4/mmm (No. 123) and the conventional cell measures 5.115, 5.115 and 3.687 Å, with angles of 90.00, 90.00 and 90.00 degrees. The distinct sites, in fractional coordinates, are Ba at (0.000, 0.000, 0.000), Fe at (0.500, 0.500, 0.000) and Se at (0.000, 0.500, 0.500).

The calculation puts the formation energy from raw total energies at -13.0 kcal/mol of atoms. For the magnetization, the calculation gives 0.902 μB per atom.

No. 11
The following is a SCAN calculation of a PBEsol-optimized structure of Ba3UFeSe6, from Alexandria via LeMat-Bulk.

The space group is R-3c (No. 167, hexagonal axes) and the conventional cell measures 12.3958, 12.3958 and 13.5957 Å, with angles of 90.00, 90.00 and 120.00 degrees. The distinct sites, in fractional coordinates, are Ba at (0.0000, 0.3817, 0.2500), U at (0.0000, 0.0000, 0.2500), Fe at (0.0000, 0.0000, 0.0000) and Se at (0.0274, 0.1797, 0.3846).

The calculation puts the formation energy from raw total energies at -38.4 kcal/mol of atoms. For the magnetization, the calculation gives 0.525 μB per atom.

No. 12
The following is a SCAN calculation of a PBEsol-optimized structure of Ba2SrFe, from Alexandria via LeMat-Bulk.

The space group is F-43m (No. 216) and the conventional cell measures 8.349, 8.349 and 8.349 Å, with angles of 90.00, 90.00 and 90.00 degrees. The distinct sites, in fractional coordinates, are Ba at (0.000, 0.000, 0.000), Ba at (0.250, 0.250, 0.250), Sr at (0.250, 0.250, 0.750) and Fe at (0.000, 0.000, 0.500).

For the magnetization, the calculation gives 0.798 μB per atom. The calculation puts the formation energy at 0.54 eV per atom.

No. 13
The following is a SCAN calculation of a PBEsol-optimized structure of BaSr3Fe, from Alexandria via LeMat-Bulk.

The space group is Pm-3m (No. 221) and the conventional cell measures 6.024, 6.024 and 6.024 Å, with angles of 90.00, 90.00 and 90.00 degrees. The distinct sites, in fractional coordinates, are Ba at (0.000, 0.000, 0.000), Sr at (0.000, 0.000, 0.500) and Fe at (0.500, 0.500, 0.500).

For the magnetization, the calculation gives 0.686 μB per atom. The calculation puts the formation energy at 1.44 eV per atom.

No. 14
The following is a SCAN calculation of a PBEsol-optimized structure of Ba2TaFe, from Alexandria via LeMat-Bulk.

The space group is I4/mmm (No. 139) and the conventional cell measures 4.477, 4.477 and 10.360 Å, with angles of 90.00, 90.00 and 90.00 degrees. The distinct sites, in fractional coordinates, are Ba at (0.000, 0.500, 0.250), Ta at (0.000, 0.000, 0.000) and Fe at (0.000, 0.000, 0.500).

For the magnetization, the calculation gives 0.304 μB per atom. The calculation puts the formation energy at 1.38 eV per atom.

Record-wise VASP energy values, in eV for the cell shown: -124.94 -128.38 -318.17 -822.01 -1123.69 -171.87 -324.22 -434.00 -391.65 -100.09 -2274.71 -469.44 -117.29 -316.58